1.
The following is a PBE-GGA calculation of Tm13Sn2 after structural relaxation, from Alexandria via LeMat-Bulk.

Cell lengths 6.587, 8.393, 9.087 Å; angles 63.52, 89.32, 80.42 degrees
Space group P-1 (No. 2)
Asymmetric unit:
Tm (0.000, 0.000, 0.000) (multiplicity 1)
Tm (0.040, 0.505, 0.715) (multiplicity 2)
Tm (0.238, 0.002, 0.573) (multiplicity 2)
Tm (0.257, 0.207, 0.154) (multiplicity 2)
Tm (0.279, 0.649, 0.961) (multiplicity 2)
Tm (0.439, 0.170, 0.818) (multiplicity 2)
Tm (0.469, 0.398, 0.376) (multiplicity 2)
Sn (0.155, 0.773, 0.363) (multiplicity 2)

Output
**Raw total energy**: -68.07 eV/f.u.
**Spin magnetization**: 0.0 μB per cell
**Formation enthalpy at 0 K**: -0.129 eV per atom

---

2.
The following is a PBE-GGA calculation of Ba2CuBiI after structural relaxation, from Alexandria via LeMat-Bulk.

Cell lengths 6.388, 6.388, 4.972 Å; angles 90.00, 90.00, 90.00 degrees
Space group P4/mmm (No. 123)
Asymmetric unit:
Ba (0.000, 0.500, 0.000) (multiplicity 2)
Cu (0.000, 0.000, 0.000) (multiplicity 1)
Bi (0.000, 0.000, 0.500) (multiplicity 1)
I (0.500, 0.500, 0.500) (multiplicity 1)

Output
**Raw total energy**: -16.64 eV/f.u.
**Spin magnetization**: 0.0 μB per cell
**Formation energy (no corrections)**: -0.653 eV per atom

---

3.
The following is a PBE-GGA calculation of PrNdOsAu after structural relaxation, from Alexandria via LeMat-Bulk.

Cell lengths 7.248, 7.248, 7.248 Å; angles 90.00, 90.00, 90.00 degrees
Space group F-43m (No. 216)
Asymmetric unit:
Pr (0.000, 0.000, 0.000) (multiplicity 4)
Nd (0.000, 0.000, 0.500) (multiplicity 4)
Os (0.250, 0.250, 0.750) (multiplicity 4)
Au (0.250, 0.250, 0.250) (multiplicity 4)

Output
**Raw total energy**: -25.16 eV/f.u.
**Spin magnetization**: 0.0 μB per cell
**Formation enthalpy at 0 K**: -0.277 eV per atom

---

4.
The following is a PBE-GGA calculation of Sm2DyTm2Th2 after structural relaxation, from Alexandria via LeMat-Bulk.

Cell lengths 17.641, 3.467, 8.440 Å; angles 90.00, 116.51, 90.00 degrees
Space group C2/m (No. 12)
Asymmetric unit:
Sm (0.076, 0.000, 0.412) (multiplicity 4)
Dy (0.000, 0.500, 0.000) (multiplicity 2)
Tm (0.147, 0.000, 0.893) (multiplicity 4)
Th (0.218, 0.500, 0.299) (multiplicity 4)

Output
**Raw total energy**: -36.66 eV/f.u.
**Spin magnetization**: 0.0 μB per cell
**Formation enthalpy at 0 K**: 0.166 eV per atom

---

5.
The following is a PBE-GGA calculation of ZrCoSe2 after structural relaxation, from Alexandria via LeMat-Bulk.

Cell lengths 3.505, 4.231, 12.371 Å; angles 90.00, 90.00, 90.00 degrees
Space group Immm (No. 71)
Asymmetric unit:
Zr (0.000, 0.000, 0.000) (multiplicity 2)
Co (0.000, 0.000, 0.500) (multiplicity 2)
Se (0.000, 0.500, 0.137) (multiplicity 4)

Output
**Raw total energy**: -25.23 eV/f.u.
**Spin magnetization**: 0.3 μB per cell
**ΔE to the lowest computed polymorph**: 95 meV per atom
**Formation energy (no corrections)**: -0.652 eV per atom

---

6.
The following is a PBE-GGA calculation of Cs3Pr3PtO8 after structural relaxation, from Alexandria via LeMat-Bulk.

Cell lengths 7.2037, 7.2037, 20.8694 Å; angles 90.00, 90.00, 120.00 degrees
Space group R-3m (No. 166, hexagonal axes)
Asymmetric unit:
Cs (0.0000, 0.5000, 0.0000) (multiplicity 9)
Pr (0.0000, 0.5000, 0.5000) (multiplicity 9)
Pt (0.0000, 0.0000, 0.5000) (multiplicity 3)
O (0.0000, 0.0000, 0.2227) (multiplicity 6)
O (0.0353, 0.5176, 0.2190) (multiplicity 18)

Output
**Raw total energy**: -93.59 eV/f.u.
**Spin magnetization**: 0.0 μB per cell
**Formation energy (no corrections)**: -2.066 eV per atom

---

7.
The following is a PBE-GGA calculation of PuFeGe2Os after structural relaxation, from Alexandria via LeMat-Bulk.

Cell lengths 4.044, 4.044, 10.636 Å; angles 90.00, 90.00, 90.00 degrees
Space group I-4m2 (No. 119)
Asymmetric unit:
Pu (0.000, 0.000, 0.000) (multiplicity 2)
Fe (0.000, 0.500, 0.750) (multiplicity 2)
Ge (0.000, 0.000, 0.378) (multiplicity 4)
Os (0.000, 0.500, 0.250) (multiplicity 2)

Output
**Raw total energy**: -44.41 eV/f.u.
**Spin magnetization**: 14.3 μB per cell
**Formation enthalpy at 0 K**: -0.231 eV per atom

---

8.
The following is a PBE-GGA calculation of CeSm4Mg5 after structural relaxation, from Alexandria via LeMat-Bulk.

Cell lengths 3.829, 3.829, 19.359 Å; angles 90.00, 90.00, 90.00 degrees
Space group P4/mmm (No. 123)
Asymmetric unit:
Ce (0.000, 0.000, 0.000) (multiplicity 1)
Sm (0.000, 0.000, 0.201) (multiplicity 2)
Sm (0.000, 0.000, 0.400) (multiplicity 2)
Mg (0.500, 0.500, 0.101) (multiplicity 2)
Mg (0.500, 0.500, 0.301) (multiplicity 2)
Mg (0.500, 0.500, 0.500) (multiplicity 1)

Output
**Raw total energy**: -33.41 eV/f.u.
**Spin magnetization**: 0.9 μB per cell
**Formation enthalpy at 0 K**: -0.063 eV per atom

---

What is the formula in the eighth record?
CeSm4Mg5

---

Which value of raw total energy does entry 4 give?
-36.66 eV/f.u.